Record 1
The following is a PBE+U calculation of a geometry-optimized GaGe2MoO structure, from Alexandria via LeMat-Bulk.

a b c (Å): 4.444 4.295 4.444
angles (deg): 90.00 90.00 90.00
Last column: magnetic moment on the atom in μB.
Element x y z (fractional)
O1 0.000 0.000 0.000  -0.07
Mo1 0.500 0.500 0.500  3.27
Ge1 0.000 0.000 0.500  -0.10
Ge2 0.500 0.000 0.000  -0.13
Ga1 0.000 0.500 0.000  -0.03

Values from the calculation:
**Final energy**: -0.171 Ha/atom
**Space-group type**: P4/mmm (123)
**Density**: 6400 kg/m3


Record 2
The following is a PBE+U calculation of a geometry-optimized GaGeMoO6 structure, from Alexandria via LeMat-Bulk.

a b c (Å): 4.568 4.568 9.144
angles (deg): 90.00 90.00 90.00
Last column: magnetic moment on the atom in μB.
Element x y z (fractional)
Ga1 0.500 0.500 0.167  0.02
Ga2 0.000 0.000 0.667  0.02
Ge1 0.500 0.500 0.834  0.03
Ge2 0.000 0.000 0.334  0.03
Mo1 0.500 0.500 0.500  1.02
Mo2 0.000 0.000 0.000  1.02
O1 0.194 0.806 0.494  -0.02
O2 0.806 0.194 0.494  -0.02
O3 0.306 0.306 0.994  -0.02
O4 0.694 0.694 0.994  -0.02
O5 0.192 0.808 0.172  -0.01
O6 0.808 0.192 0.172  -0.01
O7 0.308 0.308 0.672  -0.01
O8 0.692 0.692 0.672  -0.01
O9 0.798 0.202 0.833  -0.01
O10 0.202 0.798 0.833  -0.01
O11 0.702 0.702 0.333  -0.01
O12 0.298 0.298 0.333  -0.01

Values from the calculation:
**Final energy**: -0.243 Ha/atom
**Space-group type**: P4_2nm (102)
**Density**: 5819 kg/m3